Compound: SrPm5Te6
Source: the Alexandria database
Functional: PBE
Structure: optimized geometry

Raw total energy (eV per atom): -5.137
Fermi-level density of states (states/eV per cell): 11.9
Formation energy without anion corrections (eV/atom): -1.447

Cell: 7.7710 13.4912 7.8342 Å, 90.00 109.39 90.00°
Closest atoms and distances in Å follow each position.
Space group C2/m (No. 12)
Unique sites:
Sr 0.0000 0.0000 0.0000  6 Te 3.21-3.24
Pm 0.0000 0.1617 0.5000  6 Te 3.16-3.18
Pm 0.0000 0.3324 0.0000  6 Te 3.17-3.19
Pm 0.0000 0.5000 0.5000  6 Te 3.16-3.18
Te 0.2442 0.5000 0.2481  5 Pm 3.16-3.17, 1 Sr 3.21
Te 0.2456 0.3308 0.7447  5 Pm 3.18-3.19, 1 Sr 3.24


Compound: SrPmTe2
Source: the Alexandria database
Functional: PBE
Structure: optimized geometry

Distance to the lowest polymorph of the same formula (eV/atom): 0.034
Raw total energy (eV per atom): -4.693
Fermi-level density of states (states/eV per cell): 3.3
Formation energy without anion corrections (eV/atom): -1.514

Cell: 4.4949 4.4949 15.6995 Å, 90.00 90.00 120.00°
Closest atoms and distances in Å follow each position.
Space group P6_3/mmc (No. 194)
Unique sites:
Sr 0.3333 0.6667 0.2500  6 Te 3.32
Pm 0.0000 0.0000 0.0000  6 Te 3.18
Te 0.3333 0.6667 0.6176  3 Pm 3.18, 3 Sr 3.32